This record from the Alexandria database describes an optimized crystal structure of Rb3Ho2BiTe6. The functional is PBE-GGA.

```
12
Lattice="3.949 -6.840 0.000 3.949 6.840 0.000 -2.632 0.000 8.546" Properties=species:S:1:pos:R:3 pbc="T T T"
Rb 0.000 0.000 0.000
Rb 3.949 2.252 0.000
Rb 3.949 -2.252 0.000
Ho 2.633 4.556 4.273
Ho 2.633 -4.556 4.273
Bi 2.633 0.000 4.273
Te 1.291 2.322 2.570
Te -0.050 0.000 5.971
Te 1.291 -2.322 2.570
Te 3.974 2.322 5.976
Te 5.315 0.000 2.575
Te 3.974 -2.322 5.976
```

Summary:
* E: -48.24 eV per cell
* crystal system: monoclinic
* calculated volume: 462 Å³/cell